1.
The following is a DFT calculation (PBE-GGA) of an optimized crystal structure of Ho2Si3Ru.

extended XYZ file:
```
12
Lattice="5.436 0.525 -1.617 -1.273 5.311 -1.617 -0.392 -0.550 8.064" Properties=species:S:1:pos:R:3 pbc="T T T"
Ho 0.208 3.839 2.415
Ho 3.091 4.333 -2.401
Ho 3.563 1.447 2.415
Ho 1.072 1.503 -0.833
Si 3.082 0.775 5.365
Si 4.041 2.120 -0.535
Si 0.688 4.511 -0.535
Si -0.271 3.167 5.365
Si 3.206 4.494 2.674
Si 0.565 0.792 2.156
Ru 1.129 1.582 4.308
Ru 2.642 3.704 0.522
```

Output
The volume comes out at 114.6 Å³/f.u. As for the space-group type: Fmmm. As for the formation energy from raw total energies: -0.7291 eV per atom. The calculation puts the final energy at -0.4787 Ry per atom.

2.
The following is a DFT calculation (PBE-GGA) of an optimized crystal structure of Ho3Si3Ru2.

extended XYZ file:
```
32
Lattice="-2.345 2.310 -4.675 -6.676 1.254 3.968 4.663 12.571 3.872" Properties=species:S:1:pos:R:3 pbc="T T T"
Ho -1.513 5.716 2.734
Ho 1.097 9.198 -0.350
Ho -1.567 13.865 1.492
Ho -6.733 3.492 2.454
Ho -2.845 10.419 0.431
Ho -5.455 6.937 3.516
Ho -2.791 2.270 1.673
Ho 2.375 12.644 0.711
Ho -2.406 4.991 -0.731
Ho 1.950 9.961 3.036
Ho -1.952 11.144 3.896
Ho -6.308 6.174 0.129
Si -0.116 3.564 1.145
Si -0.183 11.235 1.472
Si -4.241 12.571 2.020
Si -4.175 4.901 1.693
Si -1.406 7.630 0.024
Si 0.919 7.354 2.218
Si -1.000 13.767 4.762
Si -7.228 3.520 -0.673
Si -2.951 8.505 3.141
Si -5.277 8.781 0.948
Si -3.358 2.369 -1.596
Si 2.871 12.615 3.839
Ru -0.801 7.363 -2.216
Ru -0.897 8.814 2.045
Ru -2.046 12.844 6.636
Ru -4.972 3.250 -0.134
Ru -3.556 8.773 5.382
Ru -3.461 7.321 1.121
Ru -2.312 3.291 -3.471
Ru 0.614 12.886 3.299
```

Output
The volume comes out at 156.9 Å³/f.u. As for the space-group type: Pnma. As for the formation energy from raw total energies: -0.8190 eV per atom. The calculation puts the final energy at -0.5063 Ry per atom.

3.
The following is a DFT calculation (PBE-GGA) of an optimized crystal structure of Ho2Si3Ru5.

extended XYZ file:
```
20
Lattice="4.062 0.000 -0.692 0.000 6.328 0.000 0.010 0.000 12.327" Properties=species:S:1:pos:R:3 pbc="T T T"
Ho 1.974 4.758 11.588
Ho 0.717 4.665 4.210
Ho 3.355 1.500 7.425
Ho 2.098 1.594 0.047
Si 3.146 4.620 6.201
Si 2.487 3.154 2.330
Si 0.219 6.116 1.284
Si 0.926 1.456 5.434
Si 3.853 2.952 10.351
Si 1.585 6.318 9.306
Ru 1.630 2.525 9.569
Ru 1.197 3.299 7.029
Ru 2.874 0.135 4.606
Ru 0.524 1.527 3.079
Ru 1.190 5.931 6.987
Ru 3.840 0.522 10.277
Ru 2.882 2.766 4.648
Ru 3.547 4.691 8.557
Ru 0.231 3.686 1.358
Ru 2.442 5.689 2.066
```

Output
The volume comes out at 158.5 Å³/f.u. As for the space-group type: Cmc2_1. As for the formation energy from raw total energies: -0.6127 eV per atom. The calculation puts the final energy at -0.5728 Ry per atom.

4.
The following is a DFT calculation (PBE-GGA) of an optimized crystal structure of HoSi3TcRu.

extended XYZ file:
```
12
Lattice="5.495 0.000 0.000 0.000 7.680 0.000 0.000 -3.840 5.431" Properties=species:S:1:pos:R:3 pbc="T T T"
Ho 4.121 0.000 2.763
Ho 1.374 3.840 2.668
Si 1.374 0.000 2.647
Si 0.000 1.923 0.000
Si 2.747 5.757 0.000
Si 2.747 1.923 0.000
Si 0.000 5.757 0.000
Si 4.121 3.840 2.785
Tc 1.374 0.000 4.866
Tc 4.121 3.840 0.566
Ru 1.374 0.000 0.460
Ru 4.121 3.840 4.972
```

Output
The volume comes out at 114.6 Å³/f.u. As for the space-group type: Cmcm. As for the formation energy from raw total energies: -0.3672 eV per atom. The calculation puts the final energy at -0.5230 Ry per atom.